one:
Entry from Alexandria via LeMat-Bulk: a geometry-optimized TlSnSb2I structure (PBE).

Unit cell a=5.695 b=5.695 c=6.096 alpha=90.00 beta=90.00 gamma=90.00
Fractional positions:
Tl: 0.000 0.000 0.000
Sn: 0.500 0.500 0.500
Sb: 0.000 0.500 0.000
Sb: 0.500 0.000 0.000
I: 0.000 0.000 0.500

DOS at the Fermi energy	6.21	states/eV/cell
space-group type	P4/mmm, No. 123
V	39.55	A^3/atom

***

two:
Entry from Alexandria via LeMat-Bulk: a geometry-optimized TlSnSb2I structure (PBE).

Unit cell a=5.717 b=5.717 c=6.333 alpha=90.00 beta=90.00 gamma=90.00
Fractional positions:
Tl: 0.000 0.000 0.000
Sn: 0.500 0.500 0.500
Sb: 0.000 0.500 0.500
Sb: 0.500 0.000 0.500
I: 0.500 0.500 0.000

DOS at the Fermi energy	5.26	states/eV/cell
space-group type	P4/mmm, No. 123
V	41.40	A^3/atom

***

Which one is most stable, and which one is least stable? two is the most stable of them, while one is the least stable.